No. 1
## LaBe3Br (PBE)

Data for an optimized crystal structure of LaBe3Br. Values from VASP.

Cell and atoms, written as Quantum ESPRESSO input:
```
&SYSTEM
  ibrav = 0, nat = 5, ntyp = 3
/
ATOMIC_SPECIES
Be 9.01 Be.upf
Br 79.90 Br.upf
La 138.91 La.upf
ATOMIC_POSITIONS crystal
Be 0.0000 0.5000 0.0000
Be 0.0000 0.0000 0.5000
Be 0.5000 0.0000 0.0000
Br 0.0000 0.0000 0.0000
La 0.5000 0.5000 0.5000
CELL_PARAMETERS angstrom
-4.5691 0.3472 -0.7743
0.4983 -2.3342 -3.9875
-0.6868 -4.0035 2.2577
```

Computed properties:
- Formation energy (no corrections): 1045 meV per atom
- N(E_F): 0.761 states/eV/atom
- Energy relative to the lowest polymorph listed for this composition: 0 meV/atom

No. 2
## AlZnW2 (PBE)

Data for an optimized crystal structure of AlZnW2. Values from VASP.

Cell and atoms, written as Quantum ESPRESSO input:
```
&SYSTEM
  ibrav = 0, nat = 4, ntyp = 3
/
ATOMIC_SPECIES
Zn 65.41 Zn.upf
Al 26.98 Al.upf
W 183.84 W.upf
ATOMIC_POSITIONS crystal
Zn 0.5000 0.2500 0.2500
Al 0.5000 0.7500 0.7500
W 0.0000 0.0134 0.9957
W 0.0000 0.4866 0.5043
CELL_PARAMETERS angstrom
4.3380 0.0000 0.0000
0.0000 2.7149 -0.0040
0.0000 1.2877 5.2165
```

Computed properties:
- N(E_F): 0.495 states/eV/atom
- Energy relative to the lowest polymorph listed for this composition: 75 meV/atom
- ΔE_f: 138 meV/atom

- N(E_F) of number 2 (AlZnW2)?
  0.495 states/eV/atom